Li2SiNi at its PBEsol-relaxed geometry. Source: the Alexandria database, functional SCAN.

## Properties
Uncorrected formation energy = -0.266 eV/atom

Cell: 8.1800 2.7832 4.4620 Å, 90.00 108.39 90.00°
Space group Cm (No. 8)
Unique sites:
Li 0.0000 0.0000 0.0000 [2 per cell]
Li 0.2374 0.0000 0.8320 [2 per cell]
Si 0.2620 0.5000 0.3746 [2 per cell]
Ni 0.4916 0.0000 0.4610 [2 per cell]

Li2SiNi at its PBEsol-relaxed geometry. Source: the Alexandria database, functional SCAN.

## Properties
Uncorrected formation energy = -0.177 eV/atom

Cell: 2.5844 4.3122 4.2535 Å, 90.00 99.72 90.00°
Space group P2/m (No. 10)
Unique sites:
Li 0.2339 0.0000 0.2542 [2 per cell]
Si 0.5000 0.5000 0.0000 [1 per cell]
Ni 0.0000 0.5000 0.5000 [1 per cell]

- Which of these has the highest uncorrected formation energy?
  number 2

- Which value of uncorrected formation energy does entry 2 give?
  -0.177 eV/atom

- Which of these has the lowest uncorrected formation energy?
  number 1

- The lowest uncorrected formation energy belongs to which entry?
  number 1